(1)
Here is a relaxed Sc4AlCo2 crystal from Alexandria via LeMat-Bulk. Energies are from PBE.

a b c (Å): 4.684 8.115 13.292
angles (deg): 90.00 90.00 90.00
Space group Cmcm (No. 63)
Unique sites:
Sc (0.000, 0.000, 0.000) [4 per cell]
Sc (0.000, 0.333, 0.126) [8 per cell]
Sc (0.000, 0.334, 0.750) [4 per cell]
Al (0.000, 0.001, 0.750) [4 per cell]
Co (0.000, 0.334, 0.558) [8 per cell]

Calculated values
**Energy relative to the elements**: -0.26 eV per atom
**E**: -6.4407 eV/atom
**Calculated density**: 4.268 g/cm³

(2)
Here is a relaxed CaPm4Pd7 crystal from Alexandria via LeMat-Bulk. Energies are from PBE.

a b c (Å): 11.183 5.369 10.726
angles (deg): 90.00 121.07 90.00
Space group C2/m (No. 12)
Unique sites:
Ca (0.000, 0.000, 0.000) [2 per cell]
Pm (0.084, 0.500, 0.371) [4 per cell]
Pm (0.191, 0.000, 0.787) [4 per cell]
Pd (0.000, 0.500, 0.000) [2 per cell]
Pd (0.105, 0.000, 0.471) [4 per cell]
Pd (0.179, 0.500, 0.897) [4 per cell]
Pd (0.239, 0.000, 0.313) [4 per cell]

Calculated values
**Energy relative to the elements**: -0.68 eV per atom
**E**: -5.4581 eV/atom
**Calculated density**: 8.219 g/cm³

(3)
Here is a relaxed LaPr4Ru crystal from Alexandria via LeMat-Bulk. Energies are from PBE.

a b c (Å): 17.946 7.704 6.163
angles (deg): 90.00 110.05 90.00
Space group C2/m (No. 12)
Unique sites:
La (0.200, 0.000, 0.200) [4 per cell]
Pr (0.000, 0.208, 0.000) [4 per cell]
Pr (0.112, 0.255, 0.612) [8 per cell]
Pr (0.169, 0.500, 0.168) [4 per cell]
Ru (0.000, 0.500, 0.261) [4 per cell]

Calculated values
**Energy relative to the elements**: -0.02 eV per atom
**E**: -5.5759 eV/atom
**Calculated density**: 6.668 g/cm³